Here is crystalline MnI2O6 at its relaxed geometry from Alexandria. Energies are from PBE+U.

Cell lengths 5.378, 5.681, 9.694 Å; angles 90.54, 90.00, 90.00 degrees
Last column: magnetic moment on the atom in μB.
Sites, in units of the cell vectors:
Mn (0.819, 0.729, 0.245)  4.63
Mn (0.319, 0.271, 0.755)  4.63
I (0.740, 0.235, 0.435)  0.03
I (0.240, 0.765, 0.565)  0.03
I (0.717, 0.775, 0.898)  0.04
I (0.217, 0.225, 0.102)  0.04
O (0.606, 0.649, 0.060)  0.02
O (0.106, 0.351, 0.940)  0.02
O (0.038, 0.847, 0.420)  0.01
O (0.538, 0.153, 0.580)  0.01
O (0.588, 0.511, 0.383)  0.02
O (0.088, 0.489, 0.617)  0.02
O (0.539, 0.052, 0.900)  0.01
O (0.039, 0.948, 0.100)  0.01
O (0.530, 0.602, 0.773)  0.01
O (0.030, 0.398, 0.227)  0.01
O (0.598, 0.037, 0.305)  0.02
O (0.098, 0.963, 0.695)  0.02

Properties
- E: -93.089 eV per cell
- Space-group type: P2_1, No. 4